(1)
# PBE TlSiAgO3, relaxed
data_TlSiAgO3
_cell_length_a 5.066
_cell_length_b 5.968
_cell_length_c 6.501
_cell_angle_alpha 117.33
_cell_angle_beta 90.00
_cell_angle_gamma 90.00
_space_group_name_H-M_alt 'P 1'
_space_group_IT_number 1
loop_
_space_group_symop_operation_xyz
'x,y,z'
loop_
_atom_site_label
_atom_site_type_symbol
_atom_site_fract_x
_atom_site_fract_y
_atom_site_fract_z
Tl1 Tl 0.750 0.270 0.539
Tl2 Tl 0.250 0.730 0.461
Si1 Si 0.250 0.046 0.091
Si2 Si 0.750 0.954 0.909
Ag1 Ag 0.250 0.408 0.816
Ag2 Ag 0.750 0.592 0.184
O1 O 0.250 0.189 0.377
O2 O 0.000 0.191 0.000
O3 O 0.500 0.809 0.000
O4 O 0.500 0.191 0.000
O5 O 0.000 0.809 0.000
O6 O 0.750 0.811 0.623
# Crystal system ... orthorhombic
# Energy relative to the elements, uncorrected ... -8.70 eV/f.u.
# Volume ... 14.55 Å³/atom
# M_tot ... 0.00 μB/atom

(2)
# PBE Rb2Tl2Te2Se, relaxed
data_Rb2Tl2Te2Se
_cell_length_a 4.770
_cell_length_b 8.364
_cell_length_c 9.253
_cell_angle_alpha 58.64
_cell_angle_beta 89.99
_cell_angle_gamma 73.39
_space_group_name_H-M_alt 'P 1'
_space_group_IT_number 1
loop_
_space_group_symop_operation_xyz
'x,y,z'
loop_
_atom_site_label
_atom_site_type_symbol
_atom_site_fract_x
_atom_site_fract_y
_atom_site_fract_z
Rb1 Rb 0.543 0.914 0.776
Rb2 Rb 0.457 0.086 0.224
Tl1 Tl 0.807 0.387 0.709
Tl2 Tl 0.193 0.613 0.291
Te1 Te 0.838 0.323 0.392
Te2 Te 0.162 0.677 0.608
Se1 Se 0.000 0.000 0.000
# Crystal system ... monoclinic
# Energy relative to the elements, uncorrected ... -4.47 eV/f.u.
# Volume ... 42.44 Å³/atom
# M_tot ... 0.00 μB/atom

(3)
# PBE LiTiIn, relaxed
data_LiTiIn
_cell_length_a 3.074
_cell_length_b 3.074
_cell_length_c 11.712
_cell_angle_alpha 90.00
_cell_angle_beta 90.00
_cell_angle_gamma 90.00
_space_group_name_H-M_alt 'P 1'
_space_group_IT_number 1
loop_
_space_group_symop_operation_xyz
'x,y,z'
loop_
_atom_site_label
_atom_site_type_symbol
_atom_site_fract_x
_atom_site_fract_y
_atom_site_fract_z
Ti1 Ti 0.000 0.500 0.080
Ti2 Ti 0.500 0.000 0.920
Li1 Li 0.000 0.500 0.421
Li2 Li 0.500 0.000 0.579
In1 In 0.000 0.500 0.735
In2 In 0.500 0.000 0.265
# Crystal system ... tetragonal
# Volume ... 18.44 Å³/atom
# M_tot ... 0.00 μB/atom
# Energy relative to the elements ... -173 meV/atom